The following is a PBE calculation of a relaxed structure of Ca3YSn, from Alexandria.

Computed properties:
**E**: -12.298 eV per cell
**ΔH_f (0 K)**: 0.835 eV per atom
**M_tot**: 0.596 μB per atom

Structure (POSCAR):
```
Ca3YSn
1.0
-2.517 -3.535 4.122
4.778 -3.601 -0.171
2.581 3.218 4.336
Y Ca Sn
1 3 1
Direct
0.000 0.000 0.000
0.000 0.500 0.000
0.000 0.000 0.500
0.500 0.000 0.000
0.500 0.500 0.500
```